No. 1
## Ba2ZrTa (PBE-GGA)

Data for a relaxed Ba2ZrTa crystal.

```
Ba2ZrTa
1.0
0.0000 3.9255 3.9255
3.9255 0.0000 3.9255
3.9255 3.9255 0.0000
Ba Zr Ta
2 1 1
direct
0.2500 0.2500 0.2500
0.7500 0.7500 0.7500
0.0000 0.0000 0.0000
0.5000 0.5000 0.5000
```

Summary:
formation energy	1314	meV per atom
energy relative to the lowest polymorph listed for this composition	0.794	eV per atom
total magnetic moment	0.00	μB per atom

No. 2
## Ba2ZrTa (PBE-GGA)

Data for a relaxed Ba2ZrTa crystal.

```
Ba2ZrTa
1.0
-1.5770 3.9030 0.2919
-2.2626 -0.6524 -3.5015
-5.3156 -2.4387 3.8892
Ba Ta Zr
2 1 1
direct
0.0000 0.0000 0.0087
0.0000 0.0000 0.4913
0.5000 0.5000 0.2500
0.5000 0.5000 0.7500
```

Summary:
formation energy	1289	meV per atom
energy relative to the lowest polymorph listed for this composition	0.770	eV per atom
total magnetic moment	0.09	μB per atom

No. 3
## Ba2ZrTa (PBE-GGA)

Data for a relaxed Ba2ZrTa crystal.

```
Ba2ZrTa
1.0
6.6448 -0.0125 0.0414
-3.4994 5.6486 0.0414
0.1095 0.1962 3.2056
Ba Ta Zr
2 1 1
direct
0.0000 0.0000 0.0000
0.5000 0.5000 0.0000
0.5000 0.0000 0.5000
0.0000 0.5000 0.5000
```

Summary:
formation energy	1106	meV per atom
energy relative to the lowest polymorph listed for this composition	0.587	eV per atom
total magnetic moment	0.00	μB per atom

No. 4
## BaZr2Ta (PBE-GGA)

Data for a relaxed BaZr2Ta crystal.

```
BaZr2Ta
1.0
-5.2275 1.1417 0.0857
-4.2657 0.9338 3.0935
1.1306 6.9450 0.1186
Ba Ta Zr
1 1 2
direct
0.4983 0.4983 0.5093
0.7370 0.7370 0.8334
0.0016 0.0016 0.9852
0.2631 0.2631 0.1721
```

Summary:
formation energy	578	meV per atom
energy relative to the lowest polymorph listed for this composition	0.232	eV per atom
total magnetic moment	0.00	μB per atom

No. 5
## BaZr2Ta (PBE-GGA)

Data for a relaxed BaZr2Ta crystal.

```
BaZr2Ta
1.0
-3.5417 2.6948 -2.6932
-3.2866 -2.4778 -3.1808
-5.0392 -0.3652 1.2378
Ba Ta Zr
1 1 2
direct
0.5000 0.5000 0.5000
0.7500 0.7500 0.7500
0.0000 0.0000 0.0000
0.2500 0.2500 0.2500
```

Summary:
formation energy	902	meV per atom
energy relative to the lowest polymorph listed for this composition	0.557	eV per atom
total magnetic moment	0.07	μB per atom

No. 6
## BaZrTa2 (PBE-GGA)

Data for a relaxed BaZrTa2 crystal.

```
BaZrTa2
1.0
-1.4229 4.4661 -10.3118
-2.8959 1.7113 -10.8161
-4.4759 4.1409 -9.5458
Ba Ta Zr
1 2 1
direct
0.7500 0.7500 0.7500
0.9887 0.9887 0.9887
0.5113 0.5113 0.5113
0.2500 0.2500 0.2500
```

Summary:
formation energy	810	meV per atom
energy relative to the lowest polymorph listed for this composition	0.341	eV per atom
total magnetic moment	0.00	μB per atom

No. 7
## BaZrTa2 (PBE-GGA)

Data for a relaxed BaZrTa2 crystal.

```
BaZrTa2
1.0
-0.4346 2.7784 2.4208
-2.0003 -2.2255 2.1951
6.4212 -2.1737 3.6477
Ba Ta Zr
1 2 1
direct
0.5000 0.5000 0.7500
0.0000 0.0000 0.0790
0.0000 0.0000 0.4210
0.5000 0.5000 0.2500
```

Summary:
formation energy	666	meV per atom
energy relative to the lowest polymorph listed for this composition	0.197	eV per atom
total magnetic moment	0.00	μB per atom

No. 8
## BaZrTa2 (PBE-GGA)

Data for a relaxed BaZrTa2 crystal.

```
BaZrTa2
1.0
-3.7701 -2.9094 -1.3408
1.7256 -2.4987 0.5698
-2.6023 0.2974 6.6723
Ba Ta Zr
1 2 1
direct
0.5000 0.7500 0.7500
0.0000 0.9187 0.0922
0.0000 0.5813 0.4078
0.5000 0.2500 0.2500
```

Summary:
formation energy	709	meV per atom
energy relative to the lowest polymorph listed for this composition	0.240	eV per atom
total magnetic moment	0.00	μB per atom

No. 9
## BaZrTa2 (PBE-GGA)

Data for a relaxed BaZrTa2 crystal.

```
BaZrTa2
1.0
7.6868 0.0278 -0.0043
5.3998 5.4709 0.0043
-6.2175 -3.5247 2.8297
Ba Ta Zr
1 2 1
direct
0.2075 0.7075 0.5000
0.9800 0.9800 0.0000
0.8450 0.3450 0.5000
0.4675 0.4675 0.0000
```

Summary:
formation energy	786	meV per atom
energy relative to the lowest polymorph listed for this composition	0.317	eV per atom
total magnetic moment	0.00	μB per atom

No. 10
## BaZrTa2 (PBE-GGA)

Data for a relaxed BaZrTa2 crystal.

```
BaZrTa2
1.0
-5.1026 0.5203 9.3625
-3.1473 -2.0932 9.9838
-1.9950 0.9896 10.4405
Ba Ta Zr
1 2 1
direct
0.7445 0.7445 0.7445
0.9832 0.9832 0.9832
0.2550 0.2550 0.2550
0.5172 0.5172 0.5172
```

Summary:
formation energy	697	meV per atom
energy relative to the lowest polymorph listed for this composition	0.228	eV per atom
total magnetic moment	0.00	μB per atom

No. 11
## BaZr2Ta (PBE-GGA)

Data for a relaxed BaZr2Ta crystal.

```
BaZr2Ta
1.0
-1.1231 0.6432 -3.5165
1.0621 -3.4594 -0.9720
-7.2797 -2.7470 1.8225
Ba Ta Zr
1 1 2
direct
0.0000 0.0000 0.5195
0.5000 0.5000 0.8269
0.0000 0.0000 0.9757
0.5000 0.5000 0.1780
```

Summary:
formation energy	490	meV per atom
energy relative to the lowest polymorph listed for this composition	0.145	eV per atom
total magnetic moment	0.00	μB per atom

No. 12
## BaZr2Ta (PBE-GGA)

Data for a relaxed BaZr2Ta crystal.

```
BaZr2Ta
1.0
3.6710 0.0000 0.0000
0.0000 5.2047 0.0000
0.0000 0.0000 5.1150
Ba Ta Zr
1 1 2
direct
0.5000 0.0000 0.5000
0.0000 0.5000 0.5000
0.0000 0.0000 0.0000
0.5000 0.5000 0.0000
```

Summary:
formation energy	901	meV per atom
energy relative to the lowest polymorph listed for this composition	0.556	eV per atom
total magnetic moment	0.00	μB per atom

- Which formula does entry 7 have?
  BaZrTa2

- Look up the energy relative to the lowest polymorph listed for this composition of the fifth one.
  0.557 eV per atom

- Number 11 is which compound?
  BaZr2Ta